Tl3BiMo2O9, optimized geometry, DFT PBE+U; E_tot = -5.88 eV per atom; symmetry = P-3m1, No. 164
1.0
5.923 0.000 0.000
-2.961 5.129 0.000
0.000 0.000 7.430
Tl Bi Mo O
3 1 2 9
Direct
0.000 0.000 0.000 Tl
0.333 0.667 0.687 Tl
0.667 0.333 0.313 Tl
0.000 0.000 0.500 Bi
0.333 0.667 0.162 Mo
0.667 0.333 0.838 Mo
0.000 0.500 0.000 O
0.180 0.361 0.301 O
0.180 0.820 0.301 O
0.361 0.180 0.699 O
0.500 0.000 0.000 O
0.500 0.500 0.000 O
0.639 0.820 0.301 O
0.820 0.180 0.699 O
0.820 0.639 0.699 O